DyErThMg | PBE-GGA | optimized geometry

The value obtained for the energy above the most stable polymorph in this dataset is 13.4 kJ per mole of atoms. The formation energy is 0.0980 eV/atom. As for the density of states at the Fermi level: 7.1 states/eV per cell. As for the total magnetic moment: 0.00 μB per cell.

Cell and atoms, written as POSCAR:
```
DyErThMg
1.0
0.000 3.895 3.895
3.895 0.000 3.895
3.895 3.895 0.000
Dy Er Th Mg
1 1 1 1
Direct
0.000 0.000 0.000
0.250 0.250 0.250
0.500 0.500 0.500
0.750 0.750 0.750
```

=====

DyErThMg | PBE-GGA | optimized geometry

The value obtained for the energy above the most stable polymorph in this dataset is 0.0 kJ per mole of atoms. The formation energy is -0.0408 eV/atom. As for the density of states at the Fermi level: 4.7 states/eV per cell. As for the total magnetic moment: 0.00 μB per cell.

Cell and atoms, written as POSCAR:
```
DyErThMg
1.0
3.572 0.000 0.000
0.000 3.572 0.000
0.000 0.000 9.201
Dy Er Th Mg
1 1 1 1
Direct
0.000 0.000 0.000
0.000 0.000 0.520
0.500 0.500 0.261
0.500 0.500 0.758
```

=====

Dy5Er2ThMg | PBE-GGA | optimized geometry

The formation energy is 0.1194 eV/atom. As for the density of states at the Fermi level: 26.7 states/eV per cell. As for the total magnetic moment: 0.00 μB per cell.

Cell and atoms, written as POSCAR:
```
Dy5Er2ThMg
1.0
2.728 -9.946 0.000
2.728 9.946 0.000
0.000 0.000 10.376
Dy Er Th Mg
10 4 2 2
Direct
0.000 0.000 0.000
0.000 0.000 0.500
0.121 0.879 0.751
0.213 0.787 0.450
0.214 0.786 0.052
0.486 0.514 0.751
0.514 0.486 0.251
0.786 0.214 0.552
0.787 0.213 0.950
0.879 0.121 0.251
0.385 0.615 0.463
0.386 0.614 0.038
0.614 0.386 0.538
0.615 0.385 0.963
0.301 0.699 0.751
0.699 0.301 0.251
0.096 0.904 0.249
0.904 0.096 0.749
```

=====

DyErMgTl | PBE-GGA | optimized geometry

The formation energy is -0.2203 eV/atom. As for the density of states at the Fermi level: 3.4 states/eV per cell. As for the total magnetic moment: 0.00 μB per cell.

Cell and atoms, written as POSCAR:
```
DyErMgTl
1.0
0.000 3.758 3.758
3.758 0.000 3.758
3.758 3.758 0.000
Dy Er Mg Tl
1 1 1 1
Direct
0.000 0.000 0.000
0.500 0.500 0.500
0.750 0.750 0.750
0.250 0.250 0.250
```

=====

Dy2Er6Tm3Mg | PBE-GGA | optimized geometry

The formation energy is 0.0317 eV/atom. As for the density of states at the Fermi level: 17.5 states/eV per cell. As for the total magnetic moment: 0.00 μB per cell.

Cell and atoms, written as POSCAR:
```
Dy2Er6Tm3Mg
1.0
3.020 -5.233 0.000
3.020 5.233 0.000
-2.027 0.000 11.377
Dy Er Tm Mg
2 6 3 1
Direct
0.166 0.834 0.000
0.834 0.166 0.000
0.084 0.417 0.750
0.250 0.250 0.251
0.417 0.084 0.750
0.583 0.916 0.250
0.750 0.750 0.749
0.916 0.583 0.250
0.000 0.000 0.500
0.334 0.666 0.500
0.666 0.334 0.500
0.500 0.500 0.000
```

=====

DyEr2Tm5Mg | PBE-GGA | optimized geometry

The formation energy is 0.1135 eV/atom. As for the density of states at the Fermi level: 25.6 states/eV per cell. As for the total magnetic moment: 0.00 μB per cell.

Cell and atoms, written as POSCAR:
```
DyEr2Tm5Mg
1.0
2.671 -9.912 0.000
2.671 9.912 0.000
0.000 0.000 10.311
Dy Er Tm Mg
2 4 10 2
Direct
0.206 0.794 0.500
0.794 0.206 0.000
0.115 0.885 0.213
0.115 0.885 0.787
0.885 0.115 0.287
0.885 0.115 0.713
0.013 0.987 0.500
0.290 0.710 0.201
0.290 0.710 0.799
0.383 0.617 0.500
0.500 0.500 0.250
0.500 0.500 0.750
0.617 0.383 0.000
0.710 0.290 0.299
0.710 0.290 0.701
0.987 0.013 0.000
0.405 0.595 0.999
0.595 0.405 0.499
```

=====

Dy2ErTm2Mg5 | PBE-GGA | optimized geometry

The formation energy is 0.0789 eV/atom. As for the density of states at the Fermi level: 14.8 states/eV per cell. As for the total magnetic moment: 0.00 μB per cell.

Cell and atoms, written as POSCAR:
```
Dy2ErTm2Mg5
1.0
10.507 0.000 0.000
0.000 10.507 0.000
0.000 0.000 5.029
Dy Er Tm Mg
4 2 4 10
Direct
0.178 0.322 0.000
0.322 0.822 0.000
0.678 0.178 0.000
0.822 0.678 0.000
0.000 0.000 0.000
0.500 0.500 0.000
0.118 0.618 0.000
0.382 0.118 0.000
0.618 0.882 0.000
0.882 0.382 0.000
0.000 0.500 0.500
0.070 0.802 0.500
0.198 0.070 0.500
0.302 0.570 0.500
0.430 0.302 0.500
0.500 0.000 0.500
0.570 0.698 0.500
0.698 0.430 0.500
0.802 0.930 0.500
0.930 0.198 0.500
```

=====

Dy2Er3Tm6Mg | PBE-GGA | optimized geometry

The formation energy is 0.0335 eV/atom. As for the density of states at the Fermi level: 17.9 states/eV per cell. As for the total magnetic moment: 0.00 μB per cell.

Cell and atoms, written as POSCAR:
```
Dy2Er3Tm6Mg
1.0
3.015 -5.223 0.000
3.015 5.223 0.000
-2.021 0.000 11.370
Dy Er Tm Mg
2 3 6 1
Direct
0.166 0.834 0.000
0.834 0.166 0.000
0.000 0.000 0.500
0.334 0.666 0.500
0.666 0.334 0.500
0.084 0.417 0.751
0.250 0.250 0.250
0.417 0.084 0.751
0.583 0.916 0.249
0.750 0.750 0.750
0.916 0.583 0.249
0.500 0.500 0.000
```

=====

Dy6ErTm2Mg | PBE-GGA | optimized geometry

The formation energy is 0.1253 eV/atom. As for the density of states at the Fermi level: 24.2 states/eV per cell. As for the total magnetic moment: 0.00 μB per cell.

Cell and atoms, written as POSCAR:
```
Dy6ErTm2Mg
1.0
4.511 -7.282 0.000
4.511 7.282 0.000
-1.427 0.000 9.376
Dy Er Tm Mg
12 2 4 2
Direct
0.009 0.567 0.187
0.121 0.755 0.552
0.245 0.879 0.948
0.298 0.502 0.386
0.433 0.991 0.313
0.498 0.702 0.114
0.502 0.298 0.886
0.567 0.009 0.687
0.702 0.498 0.614
0.755 0.121 0.052
0.879 0.245 0.448
0.991 0.433 0.813
0.020 0.980 0.250
0.980 0.020 0.750
0.198 0.298 0.051
0.298 0.198 0.551
0.702 0.802 0.449
0.802 0.702 0.949
0.405 0.595 0.750
0.595 0.405 0.250
```

=====

Dy6Er3Tm2Mg | PBE-GGA | optimized geometry

The formation energy is 0.0308 eV/atom. As for the density of states at the Fermi level: 16.2 states/eV per cell. As for the total magnetic moment: 0.00 μB per cell.

Cell and atoms, written as POSCAR:
```
Dy6Er3Tm2Mg
1.0
3.040 -5.267 0.000
3.040 5.267 0.000
-2.043 0.000 11.372
Dy Er Tm Mg
6 3 2 1
Direct
0.084 0.418 0.752
0.248 0.248 0.249
0.418 0.084 0.752
0.582 0.916 0.248
0.752 0.752 0.751
0.916 0.582 0.248
0.000 0.000 0.500
0.334 0.666 0.500
0.666 0.334 0.500
0.166 0.834 0.000
0.834 0.166 0.000
0.500 0.500 0.000
```

=====

DyEr2Tm4Mg | PBE-GGA | optimized geometry

The formation energy is 0.0214 eV/atom. As for the density of states at the Fermi level: 10.3 states/eV per cell. As for the total magnetic moment: 0.00 μB per cell.

Cell and atoms, written as POSCAR:
```
DyEr2Tm4Mg
1.0
6.003 -1.814 0.000
6.003 1.814 0.000
-3.379 0.000 10.864
Dy Er Tm Mg
1 2 4 1
Direct
0.000 0.000 0.000
0.476 0.476 0.726
0.524 0.524 0.274
0.236 0.236 0.867
0.281 0.281 0.391
0.719 0.719 0.609
0.764 0.764 0.133
0.000 0.000 0.500
```

=====

Dy3Er2Tm6Mg | PBE-GGA | optimized geometry

The formation energy is 0.0352 eV/atom. As for the density of states at the Fermi level: 17.9 states/eV per cell. As for the total magnetic moment: 0.00 μB per cell.

Cell and atoms, written as POSCAR:
```
Dy3Er2Tm6Mg
1.0
3.021 -5.235 0.000
3.021 5.235 0.000
-2.030 0.000 11.363
Dy Er Tm Mg
3 2 6 1
Direct
0.000 0.000 0.000
0.334 0.666 0.000
0.666 0.334 0.000
0.166 0.834 0.500
0.834 0.166 0.500
0.085 0.418 0.252
0.249 0.249 0.748
0.418 0.085 0.252
0.582 0.915 0.748
0.751 0.751 0.252
0.915 0.582 0.748
0.500 0.500 0.500
```

=====

Dy6Er2TmMg | PBE-GGA | optimized geometry

The formation energy is 0.1239 eV/atom. As for the density of states at the Fermi level: 23.3 states/eV per cell. As for the total magnetic moment: 0.00 μB per cell.

Cell and atoms, written as POSCAR:
```
Dy6Er2TmMg
1.0
4.506 -7.278 0.000
4.506 7.278 0.000
-1.473 0.000 9.393
Dy Er Tm Mg
12 4 2 2
Direct
0.009 0.568 0.188
0.121 0.754 0.552
0.246 0.879 0.948
0.297 0.501 0.385
0.432 0.991 0.312
0.499 0.703 0.115
0.501 0.297 0.885
0.568 0.009 0.688
0.703 0.499 0.615
0.754 0.121 0.052
0.879 0.246 0.448
0.991 0.432 0.812
0.199 0.298 0.051
0.298 0.199 0.551
0.702 0.801 0.449
0.801 0.702 0.949
0.019 0.981 0.250
0.981 0.019 0.750
0.405 0.595 0.750
0.595 0.405 0.250
```

=====

DyErTmMg | PBE-GGA | optimized geometry

The value obtained for the energy above the most stable polymorph in this dataset is 0.0 kJ per mole of atoms. The formation energy is -0.0223 eV/atom. As for the density of states at the Fermi level: 5.2 states/eV per cell. As for the total magnetic moment: 0.00 μB per cell.

Cell and atoms, written as POSCAR:
```
DyErTmMg
1.0
3.538 0.000 0.000
0.000 3.538 0.000
0.000 0.000 9.265
Dy Er Tm Mg
1 1 1 1
Direct
0.000 0.000 0.000
0.000 0.000 0.521
0.500 0.500 0.262
0.500 0.500 0.759
```

=====

DyErTmMg | PBE-GGA | optimized geometry

The value obtained for the energy above the most stable polymorph in this dataset is 6.3 kJ per mole of atoms. The formation energy is 0.0428 eV/atom. As for the density of states at the Fermi level: 4.3 states/eV per cell. As for the total magnetic moment: 0.00 μB per cell.

Cell and atoms, written as POSCAR:
```
DyErTmMg
1.0
0.000 3.856 3.856
3.856 0.000 3.856
3.856 3.856 0.000
Dy Er Tm Mg
1 1 1 1
Direct
0.000 0.000 0.000
0.500 0.500 0.500
0.250 0.250 0.250
0.750 0.750 0.750
```

=====

Dy4ErTm2Mg | PBE-GGA | optimized geometry

The formation energy is 0.0198 eV/atom. As for the density of states at the Fermi level: 11.8 states/eV per cell. As for the total magnetic moment: 0.00 μB per cell.

Cell and atoms, written as POSCAR:
```
Dy4ErTm2Mg
1.0
4.944 0.000 0.000
0.000 4.944 0.000
0.000 0.000 9.819
Dy Er Tm Mg
4 1 2 1
Direct
0.000 0.500 0.248
0.000 0.500 0.752
0.500 0.000 0.248
0.500 0.000 0.752
0.000 0.000 0.500
0.000 0.000 0.000
0.500 0.500 0.500
0.500 0.500 0.000
```

=====

DyEr2Tm2Mg2 | PBE-GGA | optimized geometry

The formation energy is -0.0199 eV/atom. As for the density of states at the Fermi level: 7.3 states/eV per cell. As for the total magnetic moment: 0.00 μB per cell.

Cell and atoms, written as POSCAR:
```
DyEr2Tm2Mg2
1.0
2.690 1.553 7.913
-2.690 1.553 7.913
0.000 -3.107 7.913
Dy Er Tm Mg
1 2 2 2
Direct
0.000 0.000 0.000
0.427 0.427 0.427
0.573 0.573 0.573
0.154 0.154 0.154
0.846 0.846 0.846
0.289 0.289 0.289
0.711 0.711 0.711
```

=====

Dy2ErTm5Mg | PBE-GGA | optimized geometry

The formation energy is 0.1112 eV/atom. As for the density of states at the Fermi level: 25.9 states/eV per cell. As for the total magnetic moment: 0.00 μB per cell.

Cell and atoms, written as POSCAR:
```
Dy2ErTm5Mg
1.0
2.669 -9.973 0.000
2.669 9.973 0.000
0.000 0.000 10.277
Dy Er Tm Mg
4 2 10 2
Direct
0.115 0.885 0.500
0.115 0.885 0.927
0.885 0.115 0.000
0.885 0.115 0.427
0.206 0.794 0.213
0.794 0.206 0.713
0.013 0.987 0.213
0.289 0.711 0.514
0.289 0.711 0.913
0.382 0.618 0.213
0.500 0.500 0.463
0.500 0.500 0.963
0.618 0.382 0.713
0.711 0.289 0.014
0.711 0.289 0.413
0.987 0.013 0.713
0.405 0.595 0.713
0.595 0.405 0.213
```

=====

Dy2Er5TmMg | PBE-GGA | optimized geometry

The formation energy is 0.1084 eV/atom. As for the density of states at the Fermi level: 25.5 states/eV per cell. As for the total magnetic moment: 0.00 μB per cell.

Cell and atoms, written as POSCAR:
```
Dy2Er5TmMg
1.0
2.676 -9.969 0.000
2.676 9.969 0.000
0.000 0.000 10.326
Dy Er Tm Mg
4 10 2 2
Direct
0.115 0.885 0.500
0.115 0.885 0.926
0.885 0.115 0.000
0.885 0.115 0.426
0.014 0.986 0.213
0.289 0.711 0.513
0.289 0.711 0.912
0.382 0.618 0.213
0.500 0.500 0.462
0.500 0.500 0.962
0.618 0.382 0.713
0.711 0.289 0.013
0.711 0.289 0.412
0.986 0.014 0.713
0.206 0.794 0.213
0.794 0.206 0.713
0.405 0.595 0.711
0.595 0.405 0.211
```

=====

Dy2Y2ErMg2 | PBE-GGA | optimized geometry

The formation energy is -0.0089 eV/atom. As for the density of states at the Fermi level: 8.7 states/eV per cell. As for the total magnetic moment: 0.00 μB per cell.

Cell and atoms, written as POSCAR:
```
Dy2Y2ErMg2
1.0
2.720 1.571 7.979
-2.720 1.571 7.979
0.000 -3.141 7.979
Dy Y Er Mg
2 2 1 2
Direct
0.074 0.074 0.074
0.926 0.926 0.926
0.346 0.346 0.346
0.654 0.654 0.654
0.500 0.500 0.500
0.211 0.211 0.211
0.789 0.789 0.789
```